A relaxed structure of TaAl2. Source: the Alexandria database, functional PBE.

Calculated values
Its formation energy is -73.2 kJ/mol of formula units. The density of states at the Fermi level comes out at 2.107 states/eV per cell. The space-group type is Cmcm, No. 63. The calculation puts the mass density at 7.9 g cm⁻³. As for the total magnetic moment: 0.00 μB/atom.

Unit cell a=6.931 b=6.931 c=3.795 alpha=90.00 beta=90.00 gamma=147.28
Sites, in units of the cell vectors:
Ta: 0.913 0.087 0.750
Ta: 0.087 0.913 0.250
Al: 0.250 0.750 0.750
Al: 0.750 0.250 0.250
Al: 0.575 0.425 0.750
Al: 0.425 0.575 0.250